{"formula": "PmCoSe2O6", "functional": "PBE+U", "state": "relaxed", "lattice": [[2.605, 1.504, 6.088], [-2.605, 1.504, 6.088], [0.000, -3.008, 6.088]], "species": ["Pm", "Co", "Se", "Se", "O", "O", "O", "O", "O", "O"], "fractional_positions": [[0.000, 0.000, 0.000], [0.500, 0.500, 0.500], [0.213, 0.213, 0.213], [0.787, 0.787, 0.787], [0.059, 0.455, 0.726], [0.274, 0.941, 0.545], [0.455, 0.726, 0.059], [0.545, 0.274, 0.941], [0.726, 0.059, 0.455], [0.941, 0.545, 0.274]], "space_group": "R-3 (148)", "energy_ev_per_cell": -60.2}